Entry 1:
DFT (PBE) results for CdCu2Mo after structural relaxation.

## Properties
Energy of formation from the pure elements = 0.19 eV per atom

CIF file:
```
data_CdCu2Mo
_cell_length_a 2.782
_cell_length_b 2.782
_cell_length_c 7.765
_cell_angle_alpha 90.00
_cell_angle_beta 90.00
_cell_angle_gamma 90.00
_space_group_name_H-M_alt 'P 1'
_space_group_IT_number 1
_space_group_name_Hall 'P 1'
loop_
_atom_site_label
_atom_site_fract_x
_atom_site_fract_y
_atom_site_fract_z
Cd1 0.500 0.500 0.750
Mo1 0.500 0.500 0.250
Cu1 0.000 0.000 0.011
Cu2 0.000 0.000 0.489
```

=====

Entry 2:
DFT (PBE) results for BaAl2Hg2 after structural relaxation.

## Properties
Energy of formation from the pure elements = -0.03 eV per atom

CIF file:
```
data_BaAl2Hg2
_cell_length_a 8.577
_cell_length_b 8.577
_cell_length_c 3.472
_cell_angle_alpha 90.00
_cell_angle_beta 90.00
_cell_angle_gamma 90.00
_space_group_name_H-M_alt 'P 1'
_space_group_IT_number 1
_space_group_name_Hall 'P 1'
loop_
_atom_site_label
_atom_site_fract_x
_atom_site_fract_y
_atom_site_fract_z
Al1 0.383 0.883 0.000
Al2 0.883 0.617 0.000
Al3 0.617 0.117 0.000
Al4 0.117 0.383 0.000
Hg1 0.167 0.667 0.500
Hg2 0.833 0.333 0.500
Hg3 0.333 0.167 0.500
Hg4 0.667 0.833 0.500
Ba1 0.500 0.500 0.000
Ba2 0.000 0.000 0.000
```

=====

Entry 3:
DFT (PBE) results for TmInOsO6 after structural relaxation.

## Properties
Electronic total energy = -7.139 eV per atom

CIF file:
```
data_TmInOsO6
_cell_length_a 5.415
_cell_length_b 5.415
_cell_length_c 9.091
_cell_angle_alpha 90.00
_cell_angle_beta 90.00
_cell_angle_gamma 120.00
_space_group_name_H-M_alt 'P 1'
_space_group_IT_number 1
_space_group_name_Hall 'P 1'
loop_
_atom_site_label
_atom_site_fract_x
_atom_site_fract_y
_atom_site_fract_z
O1 0.366 0.037 0.130
O2 0.329 0.366 0.870
O3 0.671 0.037 0.370
O4 0.634 0.671 0.630
O5 0.366 0.329 0.370
O6 0.671 0.634 0.130
O7 0.963 0.634 0.370
O8 0.963 0.329 0.130
O9 0.634 0.963 0.870
O10 0.037 0.366 0.630
O11 0.329 0.963 0.630
O12 0.037 0.671 0.870
Os1 0.333 0.667 0.750
Os2 0.667 0.333 0.250
Tm1 0.667 0.333 0.750
Tm2 0.333 0.667 0.250
In1 0.000 0.000 0.000
In2 0.000 0.000 0.500
```

=====

Entry 4:
DFT (PBE) results for BeTl3In after structural relaxation.

## Properties
Excess energy over the best structure of this formula in the dataset = 0 meV per atom
Energy of formation from the pure elements = 0.31 eV per atom

CIF file:
```
data_BeTl3In
_cell_length_a 5.136
_cell_length_b 5.136
_cell_length_c 5.136
_cell_angle_alpha 90.00
_cell_angle_beta 90.00
_cell_angle_gamma 90.00
_space_group_name_H-M_alt 'P 1'
_space_group_IT_number 1
_space_group_name_Hall 'P 1'
loop_
_atom_site_label
_atom_site_fract_x
_atom_site_fract_y
_atom_site_fract_z
Tl1 0.000 0.000 0.500
Tl2 0.500 0.000 0.000
Tl3 0.000 0.500 0.000
In1 0.500 0.500 0.500
Be1 0.000 0.000 0.000
```

=====

Entry 5:
DFT (PBE) results for La2Tb3TmTe6 after structural relaxation.

## Properties
Electronic total energy = -5.303 eV per atom

CIF file:
```
data_La2Tb3TmTe6
_cell_length_a 4.403
_cell_length_b 8.921
_cell_length_c 9.898
_cell_angle_alpha 102.65
_cell_angle_beta 102.85
_cell_angle_gamma 90.00
_space_group_name_H-M_alt 'P 1'
_space_group_IT_number 1
_space_group_name_Hall 'P 1'
loop_
_atom_site_label
_atom_site_fract_x
_atom_site_fract_y
_atom_site_fract_z
Te1 0.338 0.930 0.677
Te2 0.005 0.758 0.011
Te3 0.662 0.070 0.323
Te4 0.995 0.242 0.989
Te5 0.662 0.592 0.324
Te6 0.338 0.408 0.676
La1 0.168 0.335 0.336
La2 0.832 0.665 0.664
Tb1 0.173 0.835 0.347
Tb2 0.500 0.500 0.000
Tb3 0.827 0.165 0.653
Tm1 0.500 0.000 0.000
```

=====

Entry 6:
DFT (PBE) results for Cd2HgBr after structural relaxation.

## Properties
Excess energy over the best structure of this formula in the dataset = 139 meV per atom

CIF file:
```
data_Cd2HgBr
_cell_length_a 3.620
_cell_length_b 5.398
_cell_length_c 5.398
_cell_angle_alpha 90.00
_cell_angle_beta 90.00
_cell_angle_gamma 90.00
_space_group_name_H-M_alt 'P 1'
_space_group_IT_number 1
_space_group_name_Hall 'P 1'
loop_
_atom_site_label
_atom_site_fract_x
_atom_site_fract_y
_atom_site_fract_z
Br1 0.500 0.000 0.500
Hg1 0.500 0.500 0.000
Cd1 0.000 0.000 0.000
Cd2 0.000 0.500 0.500
```

=====

Entry 7:
DFT (PBE) results for YReSn3 after structural relaxation.

## Properties
Excess energy over the best structure of this formula in the dataset = 0 meV per atom
Energy of formation from the pure elements = 0.37 eV per atom

CIF file:
```
data_YReSn3
_cell_length_a 5.206
_cell_length_b 5.206
_cell_length_c 5.206
_cell_angle_alpha 90.00
_cell_angle_beta 90.00
_cell_angle_gamma 90.00
_space_group_name_H-M_alt 'P 1'
_space_group_IT_number 1
_space_group_name_Hall 'P 1'
loop_
_atom_site_label
_atom_site_fract_x
_atom_site_fract_y
_atom_site_fract_z
Y1 0.500 0.500 0.500
Sn1 0.000 0.500 0.000
Sn2 0.000 0.000 0.500
Sn3 0.500 0.000 0.000
Re1 0.000 0.000 0.000
```

=====

Entry 8:
DFT (PBE) results for TbSm3Sb2 after structural relaxation.

## Properties
Excess energy over the best structure of this formula in the dataset = 0 meV per atom

CIF file:
```
data_TbSm3Sb2
_cell_length_a 4.537
_cell_length_b 4.537
_cell_length_c 8.687
_cell_angle_alpha 90.00
_cell_angle_beta 90.00
_cell_angle_gamma 90.00
_space_group_name_H-M_alt 'P 1'
_space_group_IT_number 1
_space_group_name_Hall 'P 1'
loop_
_atom_site_label
_atom_site_fract_x
_atom_site_fract_y
_atom_site_fract_z
Sb1 0.500 0.000 0.722
Sb2 0.000 0.500 0.278
Sm1 0.500 0.000 0.353
Sm2 0.000 0.000 0.000
Sm3 0.000 0.500 0.647
Tb1 0.500 0.500 0.000
```

=====

What did the fourth record say?
DFT (PBE) results for BeTl3In after structural relaxation.

## Properties
Excess energy over the best structure of this formula in the dataset = 0 meV per atom
Energy of formation from the pure elements = 0.31 eV per atom

CIF file:
```
data_BeTl3In
_cell_length_a 5.136
_cell_length_b 5.136
_cell_length_c 5.136
_cell_angle_alpha 90.00
_cell_angle_beta 90.00
_cell_angle_gamma 90.00
_space_group_name_H-M_alt 'P 1'
_space_group_IT_number 1
_space_group_name_Hall 'P 1'
loop_
_atom_site_label
_atom_site_fract_x
_atom_site_fract_y
_atom_site_fract_z
Tl1 0.000 0.000 0.500
Tl2 0.500 0.000 0.000
Tl3 0.000 0.500 0.000
In1 0.500 0.500 0.500
Be1 0.000 0.000 0.000
```